[1]
The following is a PBE calculation of a relaxed structure of SbMo2H, from Alexandria via LeMat-Bulk.

extended XYZ file:
```
4
Lattice="-1.4050 -1.8779 3.7516 -3.6914 -2.4389 0.0055 0.2488 -4.3883 0.5054" Properties=species:S:1:pos:R:3 pbc="T T T"
Sb -2.4238 -4.3526 2.1313
Mo -1.2119 -2.1763 1.0656
Mo -3.6358 -6.5289 3.1969
H 0.0000 0.0000 0.0000
```

Values from the calculation:
Total moment   0.000 μB/f.u.
Final energy   -6.365 eV/atom
D(E_F)   5.5 states/eV per cell

=====

[2]
The following is a PBE calculation of a relaxed structure of SbMoH, from Alexandria via LeMat-Bulk.

extended XYZ file:
```
3
Lattice="-3.2926 -1.0221 2.2914 2.0059 -1.7227 2.1139 -0.6291 3.2790 0.5586" Properties=species:S:1:pos:R:3 pbc="T T T"
Sb -1.9460 0.9304 2.6047
Mo 0.5786 -0.2259 1.9775
H -0.5485 -0.1703 0.3817
```

Values from the calculation:
Total moment   0.000 μB/f.u.
Final energy   -5.887 eV/atom
D(E_F)   1.6 states/eV per cell

=====

Question: Look up the final energy of the second one.
Answer: -5.887 eV/atom